1.
! Y3NbSn | Alexandria via LeMat-Bulk | PBE-GGA | relaxed; values from VASP
! distance to the lowest polymorph of the same formula = 0 meV per atom
&SYSTEM
  ibrav = 0, nat = 5, ntyp = 3
/
ATOMIC_SPECIES
Y 88.91 Y.upf
Nb 92.91 Nb.upf
Sn 118.71 Sn.upf
CELL_PARAMETERS angstrom
5.387 0.000 0.000
0.000 5.387 0.000
0.000 0.000 5.387
ATOMIC_POSITIONS crystal
Y 0.000 0.000 0.500
Y 0.000 0.500 0.000
Y 0.500 0.000 0.000
Nb 0.000 0.000 0.000
Sn 0.500 0.500 0.500

***

2.
## Y8Ho5Er (PBE-GGA)

Data for a geometry-optimized Y8Ho5Er structure. Values from VASP.

Geometry as Quantum ESPRESSO input:
```
&SYSTEM
  ibrav = 0, nat = 14, ntyp = 3
/
ATOMIC_SPECIES
Y 88.91 Y.upf
Ho 164.93 Ho.upf
Er 167.26 Er.upf
CELL_PARAMETERS angstrom
-4.779 4.779 5.040
4.779 -4.779 5.040
4.779 4.779 -5.040
ATOMIC_POSITIONS crystal
Y 0.172 0.411 0.588
Y 0.333 0.226 0.248
Y 0.416 0.828 0.239
Y 0.589 0.177 0.761
Y 0.774 0.021 0.106
Y 0.823 0.584 0.412
Y 0.915 0.667 0.894
Y 0.979 0.085 0.752
Ho 0.065 0.464 0.179
Ho 0.114 0.935 0.398
Ho 0.284 0.886 0.821
Ho 0.536 0.716 0.602
Ho 0.750 0.250 0.500
Er 0.500 0.500 0.000
```

***

no.,mass density (g/cm3),DFT formation energy (eV per atom)
1,5.08,0.41
2,6.14,0.25